Entry from Alexandria via LeMat-Bulk: a relaxed CrHIO2 crystal (PBE with a Hubbard U).

```
data_CrHIO2
_chemical_formula_sum 'Cr1 H1 I1 O2'
_symmetry_space_group_name_H-M 'P 1'
_symmetry_Int_Tables_number 1
_symmetry_space_group_name_Hall 'P 1'
_cell_length_a 4.268
_cell_length_b 4.268
_cell_length_c 3.487
_cell_angle_alpha 90.00
_cell_angle_beta 90.00
_cell_angle_gamma 90.00
loop_
_atom_site_label
_atom_site_fract_x
_atom_site_fract_y
_atom_site_fract_z
_atom_site_occupancy
Cr1 0.500 0.500 0.500 1
H1 0.000 0.000 0.000 1
O1 0.500 0.000 0.000 1
O2 0.000 0.500 0.000 1
I1 0.000 0.000 0.500 1
```

Summary:
Its magnetic moment is 0.61 μB/atom. The relative energy among the computed polymorphs comes out at 89.9 kJ/mol of atoms. The total energy is -3.807 eV per atom. The calculation puts the density at 5.54 g cm⁻³.